LiCe2Ge3Ir4: relaxed, PBE-GGA.

**Final energy**: -70.32 eV/cell
**Calculated volume**: 18.137 A^3/atom
**DFT formation energy**: -0.724 eV per atom

The structure in extended XYZ format:
```
10
Lattice="4.128 0.000 0.000 0.000 4.128 0.000 0.000 0.000 10.642" Properties=species:S:1:pos:R:3 pbc="T T T"
Li 2.064 2.064 5.321
Ce 2.064 0.000 2.727
Ce 0.000 2.064 7.915
Ge 0.000 0.000 5.321
Ge 2.064 0.000 9.270
Ge 0.000 2.064 1.372
Ir 2.064 2.064 0.000
Ir 0.000 0.000 0.000
Ir 2.064 0.000 6.825
Ir 0.000 2.064 3.818
```

=====

LiCe2Ge6Ir: relaxed, PBE-GGA.

**Final energy**: -109.36 eV/cell
**Calculated volume**: 20.173 A^3/atom
**DFT formation energy**: -0.433 eV per atom

The structure in extended XYZ format:
```
20
Lattice="6.244 0.000 0.000 3.122 5.408 0.000 3.122 1.803 11.949" Properties=species:S:1:pos:R:3 pbc="T T T"
Li 0.000 0.000 0.000
Li 6.244 3.605 5.975
Ce 9.366 5.408 4.217
Ce 3.122 1.803 7.732
Ce 9.366 5.408 10.642
Ce 3.122 1.803 1.307
Ge 8.114 2.525 4.647
Ge 6.244 5.764 4.647
Ge 4.374 2.525 4.647
Ge 4.374 4.685 7.302
Ge 6.244 1.446 7.302
Ge 8.114 4.685 7.302
Ge 7.610 2.816 10.448
Ge 6.244 5.183 10.448
Ge 4.878 2.816 10.448
Ge 4.878 4.394 1.501
Ge 6.244 2.027 1.501
Ge 7.610 4.394 1.501
Ir 6.244 3.605 3.490
Ir 6.244 3.605 8.459
```

=====

LiCeGeIr: relaxed, PBE-GGA.

**Final energy**: -23.53 eV/cell
**Calculated volume**: 17.687 A^3/atom
**DFT formation energy**: -0.550 eV per atom

The structure in extended XYZ format:
```
4
Lattice="-1.611 4.325 -0.499 -4.302 0.705 -1.596 -3.302 1.591 2.850" Properties=species:S:1:pos:R:3 pbc="T T T"
Ge -2.304 1.655 0.189
Ir 0.000 0.000 0.000
Ce -6.911 4.966 0.566
Li -4.607 3.311 0.378
```